A plane-wave DFT calculation with PBE was carried out for SrHoNi2P2 after structural relaxation.

Summary:
**Uncorrected energy**: -34.96 eV for the cell shown
**Energy relative to the elements**: -101.6 kJ/mol of atoms
**Space group**: P-3m1, No. 164

Cell lengths 3.9226, 3.9226, 8.2745 Å; angles 90.00, 90.00, 120.00 degrees
Last column: nearest neighbours and their distance in Å.
Positions (direct):
Sr (0.0000, 0.0000, 0.0000)  6 P 3.19, 6 Ni 3.20
Ho (0.0000, 0.0000, 0.5000)  6 Ni 2.94, 6 P 2.95
Ni (0.3333, 0.6667, 0.7269)  3 P 2.26
Ni (0.6667, 0.3333, 0.2731)  3 P 2.26
P (0.3333, 0.6667, 0.2715)  3 Ni 2.26
P (0.6667, 0.3333, 0.7285)  3 Ni 2.26